Model w:
# Zn12Ag6Au PBE relaxed
data_Zn12Ag6Au
_chemical_formula_sum 'Zn12 Ag6 Au1'
_symmetry_space_group_name_H-M 'P 1'
_symmetry_Int_Tables_number 1
_symmetry_space_group_name_Hall 'P 1'
_cell_length_a 6.7888
_cell_length_b 6.7888
_cell_length_c 6.7888
_cell_angle_alpha 91.65
_cell_angle_beta 91.65
_cell_angle_gamma 91.65
loop_
_atom_site_label
_atom_site_fract_x
_atom_site_fract_y
_atom_site_fract_z
_atom_site_occupancy
Zn1 0.0355 0.2896 0.9458 1
Zn2 0.0542 0.9645 0.7104 1
Zn3 0.1275 0.3540 0.4503 1
Zn4 0.2896 0.9458 0.0355 1
Zn5 0.3540 0.4503 0.1275 1
Zn6 0.4503 0.1275 0.3540 1
Zn7 0.5497 0.8725 0.6460 1
Zn8 0.6460 0.5497 0.8725 1
Zn9 0.7104 0.0542 0.9645 1
Zn10 0.8725 0.6460 0.5497 1
Zn11 0.9458 0.0355 0.2896 1
Zn12 0.9645 0.7104 0.0542 1
Ag1 0.2138 0.7809 0.3852 1
Ag2 0.2191 0.6148 0.7862 1
Ag3 0.3852 0.2138 0.7809 1
Ag4 0.6148 0.7862 0.2191 1
Ag5 0.7809 0.3852 0.2138 1
Ag6 0.7862 0.2191 0.6148 1
Au1 0.5000 0.5000 0.5000 1
# - space group = R-3 (148)
# - total moment (μB per formula unit) = 0.000
# - N(E_F) (states/eV/atom) = 0.30
# - calculated volume (A^3/atom) = 16.45
# - ρ (g/cm³) = 8.66

=====

Model x:
# Zn12Ag6Au PBE relaxed
data_Zn12Ag6Au
_chemical_formula_sum 'Zn12 Ag6 Au1'
_symmetry_space_group_name_H-M 'P 1'
_symmetry_Int_Tables_number 1
_symmetry_space_group_name_Hall 'P 1'
_cell_length_a 6.9169
_cell_length_b 6.9169
_cell_length_c 6.9169
_cell_angle_alpha 96.47
_cell_angle_beta 96.47
_cell_angle_gamma 96.47
loop_
_atom_site_label
_atom_site_fract_x
_atom_site_fract_y
_atom_site_fract_z
_atom_site_occupancy
Zn1 0.0199 0.3088 0.0207 1
Zn2 0.0207 0.0199 0.3088 1
Zn3 0.1181 0.4055 0.4044 1
Zn4 0.3088 0.0207 0.0199 1
Zn5 0.4044 0.1181 0.4055 1
Zn6 0.4055 0.4044 0.1181 1
Zn7 0.5945 0.5956 0.8819 1
Zn8 0.5956 0.8819 0.5945 1
Zn9 0.6912 0.9793 0.9801 1
Zn10 0.8819 0.5945 0.5956 1
Zn11 0.9793 0.9801 0.6912 1
Zn12 0.9801 0.6912 0.9793 1
Ag1 0.2551 0.7280 0.7256 1
Ag2 0.2720 0.2744 0.7449 1
Ag3 0.2744 0.7449 0.2720 1
Ag4 0.7256 0.2551 0.7280 1
Ag5 0.7280 0.7256 0.2551 1
Ag6 0.7449 0.2720 0.2744 1
Au1 0.5000 0.5000 0.5000 1
# - space group = R-3 (148)
# - total moment (μB per formula unit) = 0.000
# - N(E_F) (states/eV/atom) = 0.22
# - calculated volume (A^3/atom) = 17.06
# - ρ (g/cm³) = 8.35

=====

Tell me which of them is the most stable. Sure, it is model w.

=====

Model w:
# Zn4AgAu PBE relaxed
data_Zn4AgAu
_chemical_formula_sum 'Zn4 Ag1 Au1'
_symmetry_space_group_name_H-M 'P 1'
_symmetry_Int_Tables_number 1
_symmetry_space_group_name_Hall 'P 1'
_cell_length_a 5.8712
_cell_length_b 5.8712
_cell_length_c 5.8247
_cell_angle_alpha 103.89
_cell_angle_beta 103.89
_cell_angle_gamma 29.17
loop_
_atom_site_label
_atom_site_fract_x
_atom_site_fract_y
_atom_site_fract_z
_atom_site_occupancy
Zn1 0.1708 0.1708 0.3362 1
Zn2 0.1719 0.1719 0.8347 1
Zn3 0.8281 0.8281 0.1653 1
Zn4 0.8292 0.8292 0.6638 1
Ag1 0.5000 0.5000 0.0000 1
Au1 0.5000 0.5000 0.5000 1
# - space group = C2/m (12)
# - total moment (μB per formula unit) = 0.000
# - N(E_F) (states/eV/atom) = 0.24
# - calculated volume (A^3/atom) = 15.80
# - ρ (g/cm³) = 9.92

=====

Model x:
# Zn4AgAu PBE relaxed
data_Zn4AgAu
_chemical_formula_sum 'Zn4 Ag1 Au1'
_symmetry_space_group_name_H-M 'P 1'
_symmetry_Int_Tables_number 1
_symmetry_space_group_name_Hall 'P 1'
_cell_length_a 4.6311
_cell_length_b 4.7949
_cell_length_c 4.9515
_cell_angle_alpha 85.86
_cell_angle_beta 83.13
_cell_angle_gamma 61.26
loop_
_atom_site_label
_atom_site_fract_x
_atom_site_fract_y
_atom_site_fract_z
_atom_site_occupancy
Zn1 0.1676 0.1622 0.0076 1
Zn2 0.3318 0.8365 0.5048 1
Zn3 0.6682 0.1635 0.4952 1
Zn4 0.8324 0.8378 0.9924 1
Ag1 0.0000 0.5000 0.5000 1
Au1 0.5000 0.5000 0.0000 1
# - space group = P-1 (2)
# - total moment (μB per formula unit) = 0.000
# - N(E_F) (states/eV/atom) = 0.20
# - calculated volume (A^3/atom) = 15.95
# - ρ (g/cm³) = 9.83

=====

Tell me which of them is the most stable. Sure, it is model x.